<a>
As2RuF2 | PBE | relaxed

Lattice parameters (Å, degrees): 4.8072 4.8072 6.2657 90.00 90.00 90.00
With the nearest neighbours (Å) after each atom.
Space group I4/mmm (No. 139)
One atom of each set of equivalent atoms:
As (0.0000, 0.5000, 0.2500) [4 per cell]  4 F 2.45
Ru (0.0000, 0.0000, 0.0000) [2 per cell]  2 F 2.06
F (0.0000, 0.0000, 0.3290) [4 per cell]  1 Ru 2.06, 1 F 2.14

Computed properties:
- Mass density: 6.6 g/cm3
- Spin magnetization: 0.000 Bohr magnetons per cell

***

<b>
As2RuF2 | PBE | relaxed

Lattice parameters (Å, degrees): 7.3375 7.3375 2.6252 90.00 90.00 90.00
With the nearest neighbours (Å) after each atom.
Space group P4/mbm (No. 127)
One atom of each set of equivalent atoms:
As (0.2257, 0.2743, 0.0000) [4 per cell]  2 F 2.14
Ru (0.0000, 0.0000, 0.5000) [2 per cell]  2 Ru 2.63, 8 As 2.92
F (0.1112, 0.6112, 0.5000) [4 per cell]  2 As 2.14, 1 F 2.31

Computed properties:
- Mass density: 6.8 g/cm3
- Spin magnetization: 0.000 Bohr magnetons per cell

***

Consider the structures shown above. The least stable of them is <a>.